Crystalline CoHg2Cl at its relaxed geometry, computed with GGA-PBE.

```
CoHg2Cl
1.0
4.934 0.000 0.000
2.467 4.273 0.000
2.467 1.424 4.029
Hg Co Cl
2 1 1
Direct
0.000 0.000 0.000 Hg
0.250 0.250 0.250 Hg
0.750 0.750 0.750 Co
0.500 0.500 0.500 Cl
```

ρ   9.7 g cm⁻³
DFT total energy   -1.845 eV/atom
Space group   F-43m (216)
M_tot   1.9 μB per cell
Excess energy over the best structure of this formula in the dataset   0.563 eV/atom
Uncorrected formation energy   210 kJ/mol of formula units